The following is a GGA+U calculation of a relaxed MoO2F5 crystal, from Alexandria.

calculated volume	17.95	Å³ per atom
calculated total energy	-5.03	eV/atom

Cell lengths 4.105, 6.259, 6.261 Å; angles 85.93, 70.89, 70.96 degrees
Space group P1 (No. 1)
Inequivalent atoms, fractional coordinates:
Mo1 0.000 0.000 0.000 x1
O1 0.146 0.500 0.496 x1
O2 0.842 0.500 0.504 x1
F1 0.166 0.682 0.985 x1
F2 0.167 0.985 0.682 x1
F3 0.500 0.000 0.000 x1
F4 0.833 0.015 0.318 x1
F5 0.834 0.318 0.015 x1